(1)
CrPbS2 | GGA-PBE | optimized geometry

CIF file:
```
data_CrPbS2
_chemical_formula_sum 'Cr2 Pb2 S4'
_cell_length_a 4.067
_cell_length_b 6.605
_cell_length_c 8.318
_cell_angle_alpha 72.14
_cell_angle_beta 86.80
_cell_angle_gamma 73.55
_space_group_name_H-M_alt 'P -1'
_space_group_IT_number 2
loop_
_space_group_symop_operation_xyz
'x,y,z'
'-x,-y,-z'
loop_
_atom_site_label
_atom_site_type_symbol
_atom_site_fract_x
_atom_site_fract_y
_atom_site_fract_z
Cr1 Cr 0.205 0.446 0.073
Pb1 Pb 0.261 0.053 0.722
S1 S 0.106 0.225 0.327
S2 S 0.382 0.743 0.056
```

Output
E (eV/f.u.): -23.18
ρ (g cm⁻³): 5.3
Formation energy (no corrections) (eV/atom): -0.40

(2)
GaHg3Au | GGA-PBE | optimized geometry

CIF file:
```
data_GaHg3Au
_chemical_formula_sum 'Ga1 Hg3 Au1'
_cell_length_a 5.265
_cell_length_b 5.265
_cell_length_c 5.265
_cell_angle_alpha 90.00
_cell_angle_beta 90.00
_cell_angle_gamma 90.00
_space_group_name_H-M_alt 'P m -3 m'
_space_group_IT_number 221
_space_group_name_Hall '-P 4 2 3'
loop_
_atom_site_label
_atom_site_type_symbol
_atom_site_fract_x
_atom_site_fract_y
_atom_site_fract_z
Ga1 Ga 0.000 0.000 0.000
Hg1 Hg 0.000 0.000 0.500
Au1 Au 0.500 0.500 0.500
```

Output
E (eV/f.u.): -5.59
Formation energy (eV per atom): 0.324
ρ (g cm⁻³): 9.9

(3)
PrDy2Au4 | GGA-PBE | optimized geometry

CIF file:
```
data_PrDy2Au4
_chemical_formula_sum 'Pr1 Dy2 Au4'
_cell_length_a 5.112
_cell_length_b 5.112
_cell_length_c 6.900
_cell_angle_alpha 90.00
_cell_angle_beta 90.00
_cell_angle_gamma 90.00
_space_group_name_H-M_alt 'P 4/m m m'
_space_group_IT_number 123
_space_group_name_Hall '-P 4 2'
loop_
_atom_site_label
_atom_site_type_symbol
_atom_site_fract_x
_atom_site_fract_y
_atom_site_fract_z
Pr1 Pr 0.000 0.000 0.000
Dy1 Dy 0.000 0.000 0.500
Dy2 Dy 0.500 0.500 0.000
Au1 Au 0.000 0.500 0.259
```

Output
E (eV/f.u.): -31.33
Formation energy (eV per atom): -0.605
ρ (g cm⁻³): 11.5